Material: InFeSb2
Method: DFT, SCAN
State: single point on PBEsol structure

Uncorrected formation energy: 0.481 eV per atom
Magnetization: 2.78 μB per cell

Cell and atoms, written as POSCAR:
```
InFeSb2
1.0
-2.344 2.344 3.924
2.344 -2.344 3.924
2.344 2.344 -3.924
In Fe Sb
1 1 2
Direct
0.000 0.000 0.000 In
0.500 0.500 0.000 Fe
0.250 0.750 0.500 Sb
0.750 0.250 0.500 Sb
```